[1]
Here is a crystal of Na2MoSeO6 relaxed with PBEsol from Alexandria. Energies are from meta-GGA SCAN.

Cell lengths 8.3173, 8.3173, 8.3173 Å; angles 90.00, 90.00, 90.00 degrees
Last column: nearest neighbours and their distance in Å.
Fractional positions:
O1 0.3972 0.9926 0.7562  1 Se 1.73
Se1 0.6749 0.6749 0.6749  3 O 1.73
Mo1 0.5107 0.4893 0.9893  3 O 1.76
O2 0.9926 0.7562 0.3972  1 Se 1.73
O3 0.4926 0.7438 0.6028  1 Se 1.73
Na1 0.7453 0.7547 0.2453  6 O 2.41-2.48
O4 0.5074 0.2438 0.8972  1 Se 1.73
O5 0.5076 0.9219 0.3113  1 Mo 1.76
O6 0.0781 0.8113 0.9924  1 Mo 1.76
Mo2 0.0107 0.0107 0.0107  3 O 1.76
O7 0.0076 0.5781 0.6887  1 Mo 1.76
Mo3 0.4893 0.9893 0.5107  3 O 1.76
Na2 0.7547 0.2453 0.7453  6 O 2.41-2.48
O8 0.9924 0.0781 0.8113  1 Mo 1.76
Na3 0.5323 0.9677 0.0323  6 O 2.36-2.56
O9 0.6028 0.4926 0.7438  1 Se 1.73
Na4 0.2453 0.7453 0.7547  6 O 2.41-2.48
O10 0.5781 0.6887 0.0076  1 Mo 1.76
Se2 0.8251 0.3251 0.1749  3 O 1.73
Se3 0.1749 0.8251 0.3251  3 O 1.73
O11 0.1887 0.4924 0.4219  1 Mo 1.76
O12 0.7562 0.3972 0.9926  1 Se 1.73
O13 0.1028 0.0074 0.2562  1 Se 1.73
Na5 0.0323 0.5323 0.9677  6 O 2.36-2.56
O14 0.8972 0.5074 0.2438  1 Se 1.73
O15 0.3113 0.5076 0.9219  1 Mo 1.76
Na6 0.4677 0.4677 0.4677  6 O 2.36-2.56
O16 0.2438 0.8972 0.5074  1 Se 1.73
O17 0.4924 0.4219 0.1887  1 Mo 1.76
O18 0.0074 0.2562 0.1028  1 Se 1.73
Na7 0.9677 0.0323 0.5323  6 O 2.36-2.56
O19 0.2562 0.1028 0.0074  1 Se 1.73
Se4 0.3251 0.1749 0.8251  3 O 1.73
O20 0.6887 0.0076 0.5781  1 Mo 1.76
O21 0.4219 0.1887 0.4924  1 Mo 1.76
Mo4 0.9893 0.5107 0.4893  3 O 1.76
Na8 0.2547 0.2547 0.2547  6 O 2.41-2.48
O22 0.8113 0.9924 0.0781  1 Mo 1.76
O23 0.7438 0.6028 0.4926  1 Se 1.73
O24 0.9219 0.3113 0.5076  1 Mo 1.76

Computed properties:
uncorrected formation energy = -18.42 eV per formula unit

[2]
Here is a crystal of Na2Te3Mo3O16 relaxed with PBEsol from Alexandria. Energies are from meta-GGA SCAN.

Cell lengths 7.2641, 7.5828, 7.5828 Å; angles 95.50, 114.74, 114.74 degrees
Last column: nearest neighbours and their distance in Å.
Fractional positions:
Te1 0.4993 0.6037 0.9471  3 O 1.87-1.94
O1 0.1789 0.1906 0.7056  1 Mo 1.73
O2 0.3714 0.5391 0.5740  1 Mo 1.74
Na1 0.5000 0.0836 0.9164  2 O 2.29
Te2 0.0000 0.9968 0.0032  4 O 1.96-2.05
O3 0.6647 0.7050 0.2449  1 Te 1.94, 1 Mo 2.16
O4 0.8211 0.2944 0.8094  1 Mo 1.73
Mo1 0.5000 0.5782 0.4218  4 O 1.74-1.92
Mo2 0.9829 0.9733 0.4889  3 O 1.73-1.93
O5 0.6286 0.4260 0.4609  1 Mo 1.74
Na2 0.0000 0.4855 0.5145  6 O 2.34-2.44
Mo3 0.0171 0.5111 0.0267  3 O 1.73-1.93
O6 0.2309 0.4018 0.1549  2 Mo 1.92-2.00
O7 0.7691 0.8451 0.5982  2 Mo 1.92-2.00
O8 0.3353 0.7551 0.2950  1 Te 1.94, 1 Mo 2.16
O9 0.1208 0.8328 0.5587  1 Mo 1.73
O10 0.3419 0.0651 0.1245  2 Te 1.93-2.05
O11 0.0765 0.0439 0.2908  1 Mo 1.93, 1 Te 1.96
O12 0.9235 0.7092 0.9561  1 Mo 1.93, 1 Te 1.96
O13 0.2320 0.6224 0.8889  1 Te 1.87
O14 0.8792 0.4413 0.1672  1 Mo 1.73
O15 0.7680 0.1111 0.3776  1 Te 1.87
Te3 0.5007 0.0529 0.3963  3 O 1.87-1.94
O16 0.6581 0.8755 0.9349  2 Te 1.93-2.05

Computed properties:
uncorrected formation energy = -42.35 eV per formula unit

[3]
Here is a crystal of Na2Te4MoO12 relaxed with PBEsol from Alexandria. Energies are from meta-GGA SCAN.

Cell lengths 5.7301, 9.1185, 11.1848 Å; angles 105.40, 90.00, 108.31 degrees
Last column: nearest neighbours and their distance in Å.
Fractional positions:
O1 0.6072 0.9811 0.3681  1 Te 1.86
Te1 0.4694 0.3104 0.9357  3 O 1.92-2.05
O2 0.6919 0.6819 0.2451  1 Te 1.90
O3 0.1575 0.0434 0.1413  1 Mo 1.75
O4 0.3081 0.3181 0.7549  1 Te 1.90
O5 0.1141 0.9566 0.3587  1 Mo 1.75
Te2 0.1590 0.6896 0.5643  3 O 1.92-2.05
O6 0.6679 0.3250 0.0936  2 Te 1.98-2.05
Na1 0.4442 0.4255 0.2706  4 O 2.32-2.49
O7 0.9900 0.6819 0.7451  1 Te 1.90
O8 0.3429 0.6750 0.4064  2 Te 1.98-2.05
O9 0.8425 0.9566 0.8587  1 Mo 1.75
Te3 0.5306 0.6896 0.0643  3 O 1.92-2.05
O10 0.7174 0.2194 0.8393  1 Mo 1.92, 1 Te 2.03
O11 0.3321 0.6750 0.9064  2 Te 1.98-2.05
Na2 0.5558 0.5745 0.7294  4 O 2.32-2.49
Mo1 0.6726 0.0000 0.7500  4 O 1.75-1.92
Mo2 0.3274 0.0000 0.2500  4 O 1.75-1.92
O12 0.3131 0.4828 0.0679  1 Te 1.92
Te4 0.1289 0.8146 0.9069  3 O 1.86-1.98
O13 0.6261 0.0189 0.1319  1 Te 1.86
O14 0.3928 0.0189 0.6319  1 Te 1.86
O15 0.4981 0.7806 0.6607  1 Mo 1.92, 1 Te 2.03
O16 0.0100 0.3181 0.2549  1 Te 1.90
Te5 0.8711 0.1854 0.0931  3 O 1.86-1.98
O17 0.2826 0.7806 0.1607  1 Mo 1.92, 1 Te 2.03
O18 0.6571 0.3250 0.5936  2 Te 1.98-2.05
O19 0.8859 0.0434 0.6413  1 Mo 1.75
Te6 0.3144 0.1854 0.5931  3 O 1.86-1.98
O20 0.8303 0.5172 0.4321  1 Te 1.92
O21 0.1697 0.4828 0.5679  1 Te 1.92
Te7 0.6856 0.8146 0.4069  3 O 1.86-1.98
O22 0.5019 0.2194 0.3393  1 Mo 1.92, 1 Te 2.03
Na3 0.0187 0.5745 0.2294  4 O 2.32-2.49
O23 0.3739 0.9811 0.8681  1 Te 1.86
Te8 0.8410 0.3104 0.4357  3 O 1.92-2.05
O24 0.6869 0.5172 0.9321  1 Te 1.92
Na4 0.9813 0.4255 0.7706  4 O 2.32-2.49

Computed properties:
uncorrected formation energy = -28.98 eV per formula unit

[4]
Here is a crystal of Na3Zn2Mo3O12 relaxed with PBEsol from Alexandria. Energies are from meta-GGA SCAN.

Cell lengths 7.0694, 8.9973, 8.9973 Å; angles 95.07, 104.03, 104.03 degrees
Last column: nearest neighbours and their distance in Å.
Fractional positions:
Zn1 0.6182 0.8649 0.5565  5 O 2.02-2.11
O1 0.5258 0.2565 0.6669  1 Mo 1.79
Mo1 0.2500 0.7812 0.2188  4 O 1.79
Na1 0.7500 0.7688 0.2312  6 O 2.32-2.37
O2 0.5891 0.6543 0.6435  1 Mo 1.81
Zn2 0.1182 0.5565 0.8649  5 O 2.02-2.11
O3 0.7585 0.2447 0.9824  1 Mo 1.79
O4 0.6753 0.1068 0.4696  1 Mo 1.81
O5 0.9742 0.3331 0.7435  1 Mo 1.79
O6 0.8247 0.5304 0.8932  1 Mo 1.81
O7 0.2415 0.7553 0.0176  1 Mo 1.79
O8 0.6852 0.7938 0.9648  1 Mo 1.75
O9 0.3767 0.5008 0.8477  1 Mo 1.79
O10 0.2585 0.9824 0.2447  1 Mo 1.79
O11 0.8767 0.8477 0.5008  1 Mo 1.79
Mo2 0.1172 0.8406 0.6168  4 O 1.75-1.81
Zn3 0.3818 0.1351 0.4435  5 O 2.02-2.11
Mo3 0.7500 0.2188 0.7812  4 O 1.79
Mo4 0.8828 0.1594 0.3832  4 O 1.75-1.81
O12 0.8148 0.0352 0.2062  1 Mo 1.75
O13 0.7415 0.0176 0.7553  1 Mo 1.79
Mo5 0.3828 0.3832 0.1594  4 O 1.75-1.81
Zn4 0.8818 0.4435 0.1351  5 O 2.02-2.11
O14 0.4742 0.7435 0.3331  1 Mo 1.79
Mo6 0.6172 0.6168 0.8406  4 O 1.75-1.81
Na2 0.7500 0.4852 0.5148  4 O 2.43-2.47
O15 0.3148 0.2062 0.0352  1 Mo 1.75
Na3 0.2500 0.2312 0.7688  6 O 2.32-2.37
O16 0.4109 0.3457 0.3565  1 Mo 1.81
Na4 0.2500 0.5148 0.4852  4 O 2.43-2.47
O17 0.1753 0.4696 0.1068  1 Mo 1.81
O18 0.1852 0.9648 0.7938  1 Mo 1.75
Na5 0.0000 0.0000 0.0000  6 O 2.46-2.56
O19 0.6233 0.4992 0.1523  1 Mo 1.79
O20 0.0891 0.6435 0.6543  1 Mo 1.81
O21 0.9109 0.3565 0.3457  1 Mo 1.81
O22 0.1233 0.1523 0.4992  1 Mo 1.79
Na6 0.5000 0.0000 0.0000  6 O 2.46-2.56
O23 0.3247 0.8932 0.5304  1 Mo 1.81
O24 0.0258 0.6669 0.2565  1 Mo 1.79

Computed properties:
uncorrected formation energy = -40.62 eV per formula unit

[5]
Here is a crystal of Na2MoOs relaxed with PBEsol from Alexandria. Energies are from meta-GGA SCAN.

Cell lengths 4.5863, 4.5863, 4.5863 Å; angles 60.00, 60.00, 60.00 degrees
Last column: nearest neighbours and their distance in Å.
Fractional positions:
Mo1 0.0000 0.0000 0.0000  8 Na 2.81
Na1 0.7500 0.7500 0.7500  4 Os 2.81, 4 Mo 2.81
Na2 0.2500 0.2500 0.2500  4 Mo 2.81, 4 Os 2.81
Os1 0.5000 0.5000 0.5000  8 Na 2.81

Computed properties:
formation energy from the elements = 1.8442 eV per atom

[6]
Here is a crystal of NaMoP3 relaxed with PBEsol from Alexandria. Energies are from meta-GGA SCAN.

Cell lengths 4.6042, 4.6042, 4.6042 Å; angles 90.00, 90.00, 90.00 degrees
Last column: nearest neighbours and their distance in Å.
Fractional positions:
P1 0.5000 0.0000 0.0000  2 Na 2.30
Mo1 0.5000 0.5000 0.5000  12 P 3.26
P2 0.0000 0.0000 0.5000  2 Na 2.30
P3 0.0000 0.5000 0.0000  2 Na 2.30
Na1 0.0000 0.0000 0.0000  6 P 2.30

Computed properties:
formation energy from the elements = 1.8180 eV per atom

[7]
Here is a crystal of NaMoP2S relaxed with PBEsol from Alexandria. Energies are from meta-GGA SCAN.

Cell lengths 4.6746, 4.6746, 4.7410 Å; angles 90.00, 90.00, 90.00 degrees
Last column: nearest neighbours and their distance in Å.
Fractional positions:
S1 0.0000 0.0000 0.5000  2 Mo 2.37
Na1 0.5000 0.5000 0.5000  4 S 3.31, 8 P 3.33
Mo1 0.0000 0.0000 0.0000  4 P 2.34, 2 S 2.37
P1 0.0000 0.5000 0.0000  2 Mo 2.34
P2 0.5000 0.0000 0.0000  2 Mo 2.34

Computed properties:
uncorrected formation energy = -0.14 eV per formula unit

[8]
Here is a crystal of NaMo3Pb relaxed with PBEsol from Alexandria. Energies are from meta-GGA SCAN.

Cell lengths 4.5627, 4.5627, 4.5627 Å; angles 90.00, 90.00, 90.00 degrees
Last column: nearest neighbours and their distance in Å.
Fractional positions:
Mo1 0.5000 0.0000 0.0000  2 Na 2.28
Mo2 0.0000 0.0000 0.5000  2 Na 2.28
Mo3 0.0000 0.5000 0.0000  2 Na 2.28
Pb1 0.5000 0.5000 0.5000  12 Mo 3.23
Na1 0.0000 0.0000 0.0000  6 Mo 2.28

Computed properties:
formation energy from the elements = 2.4880 eV per atom

[9]
Here is a crystal of Na3MoPb relaxed with PBEsol from Alexandria. Energies are from meta-GGA SCAN.

Cell lengths 5.7532, 5.7532, 5.7532 Å; angles 90.00, 90.00, 90.00 degrees
Last column: nearest neighbours and their distance in Å.
Fractional positions:
Pb1 0.0000 0.0000 0.0000  6 Na 2.88
Mo1 0.5000 0.5000 0.5000  12 Na 4.07
Na1 0.0000 0.0000 0.5000  2 Pb 2.88
Na2 0.0000 0.5000 0.0000  2 Pb 2.88
Na3 0.5000 0.0000 0.0000  2 Pb 2.88

Computed properties:
formation energy from the elements = 0.9609 eV per atom

[10]
Here is a crystal of NaMoRuPb2 relaxed with PBEsol from Alexandria. Energies are from meta-GGA SCAN.

Cell lengths 4.6081, 5.3752, 5.3752 Å; angles 90.00, 90.00, 90.00 degrees
Last column: nearest neighbours and their distance in Å.
Fractional positions:
Pb1 0.0000 0.5000 0.0000  2 Mo 2.69
Na1 0.5000 0.5000 0.5000  8 Pb 3.54, 4 Ru 3.80
Mo1 0.0000 0.0000 0.0000  2 Ru 2.30
Pb2 0.0000 0.0000 0.5000  2 Mo 2.69
Ru1 0.5000 0.0000 0.0000  2 Mo 2.30

Computed properties:
formation energy from the elements = 0.7539 eV per atom

[11]
Here is a crystal of NaSbMoPb2 relaxed with PBEsol from Alexandria. Energies are from meta-GGA SCAN.

Cell lengths 5.2115, 5.3963, 5.3963 Å; angles 90.00, 90.00, 90.00 degrees
Last column: nearest neighbours and their distance in Å.
Fractional positions:
Sb1 0.5000 0.0000 0.0000  2 Mo 2.61
Pb1 0.0000 0.5000 0.0000  2 Mo 2.70
Mo1 0.0000 0.0000 0.0000  2 Sb 2.61, 4 Pb 2.70
Pb2 0.0000 0.0000 0.5000  2 Mo 2.70
Na1 0.5000 0.5000 0.5000  8 Pb 3.75, 4 Sb 3.82

Computed properties:
uncorrected formation energy = 1.20 eV per formula unit

[12]
Here is a crystal of Na3MoPt relaxed with PBEsol from Alexandria. Energies are from meta-GGA SCAN.

Cell lengths 5.3380, 5.3380, 5.3380 Å; angles 90.00, 90.00, 90.00 degrees
Last column: nearest neighbours and their distance in Å.
Fractional positions:
Na1 0.0000 0.0000 0.5000  2 Pt 2.67
Pt1 0.0000 0.0000 0.0000  6 Na 2.67
Na2 0.0000 0.5000 0.0000  2 Pt 2.67
Mo1 0.5000 0.5000 0.5000  12 Na 3.77
Na3 0.5000 0.0000 0.0000  2 Pt 2.67

Computed properties:
formation energy from the elements = 0.9423 eV per atom

no.,energy (eV/atom)
1,-11.921
2,-15.287
3,-15.583
4,-12.986
5,-26.955
6,-12.241
7,-13.933
8,-34.442
9,-23.701
10,-44.344
11,-45.345
12,-22.602